{
  "formula": "Pm4Pr3Tl",
  "functional": "PBE-GGA",
  "state": "relaxed",
  "sg": "No. 59",
  "e_form_mev_per_atom": -67,
  "lattice_angstrom": [[5.0139, 0.0000, 0.0000], [0.0000, 10.2907, 0.0000], [0.0000, 0.0000, 10.2852]],
  "species": ["Pm", "Pm", "Pm", "Pm", "Pm", "Pm", "Pm", "Pm", "Pr", "Pr", "Pr", "Pr", "Pr", "Pr", "Tl", "Tl"],
  "frac_coords": [[0.2500, 0.0043, 0.1287], [0.2500, 0.2500, 0.8742], [0.2500, 0.4957, 0.1287], [0.2500, 0.7500, 0.8703], [0.7500, 0.2500, 0.1297], [0.7500, 0.5043, 0.8713], [0.7500, 0.7500, 0.1258], [0.7500, 0.9957, 0.8713], [0.2500, 0.5007, 0.6187], [0.2500, 0.7500, 0.3764], [0.2500, 0.9993, 0.6187], [0.7500, 0.0007, 0.3813], [0.7500, 0.2500, 0.6236], [0.7500, 0.4993, 0.3813], [0.2500, 0.2500, 0.3715], [0.7500, 0.7500, 0.6285]]
}

---

{
  "formula": "GaCoP",
  "functional": "PBE-GGA",
  "state": "relaxed",
  "sg": "No. 4",
  "e_form_mev_per_atom": -248,
  "lattice_angstrom": [[5.0317, 0.0000, 0.0000], [0.0000, 6.3688, 0.0000], [-1.7284, 0.0000, 5.4496]],
  "species": ["Ga", "Ga", "Ga", "Ga", "Co", "Co", "Co", "Co", "P", "P", "P", "P"],
  "frac_coords": [[0.0216, 0.0000, 0.1298], [0.4241, 0.4968, 0.3739], [0.5759, 0.9968, 0.6261], [0.9784, 0.5000, 0.8702], [0.0677, 0.8707, 0.7288], [0.5002, 0.3628, 0.8079], [0.4998, 0.8628, 0.1921], [0.9323, 0.3707, 0.2712], [0.1242, 0.1974, 0.6081], [0.4324, 0.6863, 0.8600], [0.5676, 0.1863, 0.1400], [0.8758, 0.6974, 0.3919]]
}

---

{
  "formula": "Na2SiPt",
  "functional": "PBE-GGA",
  "state": "relaxed",
  "sg": "No. 164",
  "formation_energy_uncorrected_ev_per_atom": -0.259,
  "lattice_angstrom": [[5.0679, 0.0000, 0.0000], [-2.5339, 4.3889, 0.0000], [0.0000, 0.0000, 4.5365]],
  "species": ["Na", "Na", "Si", "Pt"],
  "frac_coords": [[0.3333, 0.6667, 0.1968], [0.6667, 0.3333, 0.8032], [0.0000, 0.0000, 0.5000], [0.0000, 0.0000, 0.0000]]
}

---

{
  "formula": "Y4ErSc3",
  "functional": "PBE-GGA",
  "state": "relaxed",
  "sg": "No. 65",
  "e_form_mev_per_atom": 448,
  "lattice_angstrom": [[5.7140, -6.3997, 0.0000], [5.7140, 6.3997, 0.0000], [0.0000, 0.0000, 3.3090]],
  "species": ["Y", "Y", "Y", "Y", "Er", "Sc", "Sc", "Sc"],
  "frac_coords": [[0.2412, 0.2412, 0.5000], [0.2423, 0.7577, 0.0000], [0.7577, 0.2423, 0.0000], [0.7588, 0.7588, 0.5000], [0.5000, 0.5000, 0.0000], [0.0000, 0.0000, 0.0000], [0.0000, 0.5000, 0.5000], [0.5000, 0.0000, 0.5000]]
}

---

{
  "formula": "TlTcO5",
  "functional": "PBE-GGA",
  "state": "relaxed",
  "sg": "No. 9",
  "formation_energy_uncorrected_ev_per_atom": -0.943,
  "lattice_angstrom": [[4.0839, -3.1447, 0.0000], [4.0839, 3.1447, 0.0000], [-2.2024, 0.0000, 9.4197]],
  "species": ["Tl", "Tl", "Tc", "Tc", "O", "O", "O", "O", "O", "O", "O", "O", "O", "O"],
  "frac_coords": [[0.1070, 0.8930, 0.5000], [0.8930, 0.1070, 0.0000], [0.4735, 0.8331, 0.2150], [0.8331, 0.4735, 0.7150], [0.0040, 0.4465, 0.5667], [0.0290, 0.6400, 0.8502], [0.0735, 0.9127, 0.1706], [0.3373, 0.6730, 0.3514], [0.4465, 0.0040, 0.0667], [0.5204, 0.6832, 0.6682], [0.6400, 0.0290, 0.3502], [0.6730, 0.3373, 0.8514], [0.6832, 0.5204, 0.1682], [0.9127, 0.0735, 0.6706]]
}

---

{
  "formula": "Cs2KPI6",
  "functional": "PBE-GGA",
  "state": "relaxed",
  "sg": "No. 14",
  "formation_energy_uncorrected_ev_per_atom": -0.894,
  "lattice_angstrom": [[8.6425, 0.0000, 0.0000], [0.0000, 8.8639, 0.0000], [-8.6395, 0.0000, 12.3868]],
  "species": ["Cs", "Cs", "Cs", "Cs", "K", "K", "P", "P", "I", "I", "I", "I", "I", "I", "I", "I", "I", "I", "I", "I"],
  "frac_coords": [[0.2325, 0.0570, 0.2490], [0.2325, 0.4430, 0.7490], [0.7675, 0.5570, 0.2510], [0.7675, 0.9430, 0.7510], [0.5000, 0.0000, 0.0000], [0.5000, 0.5000, 0.5000], [0.0000, 0.0000, 0.5000], [0.0000, 0.5000, 0.0000], [0.1481, 0.2372, 0.9688], [0.1481, 0.2628, 0.4688], [0.2314, 0.6810, 0.9666], [0.2314, 0.8190, 0.4666], [0.2873, 0.0058, 0.7228], [0.2873, 0.4942, 0.2228], [0.7127, 0.5058, 0.7772], [0.7127, 0.9942, 0.2772], [0.7686, 0.1810, 0.5334], [0.7686, 0.3190, 0.0334], [0.8519, 0.7372, 0.5312], [0.8519, 0.7628, 0.0312]]
}

---

Per-record VASP energy, eV per atom: -4.531, -5.429, -3.785, -5.729, -6.304, -2.645